The following is a DFT calculation (PBE) of a relaxed structure of Mg2V2Cr.

abc: 7.1190 7.1190 3.5137
angles: 90.00 90.00 90.00
Last column: nearest neighbours and their distance in Å.
Element x y z (fractional)
1 Cr 0.0000 0.0000 0.0000  4 Mg 2.79
2 Mg 0.1313 0.3687 0.0000  6 V 2.63-2.81, 1 Mg 2.64, 2 Cr 2.79
3 Mg 0.3687 0.8687 0.0000  6 V 2.63-2.81, 1 Mg 2.64, 2 Cr 2.79
4 Mg 0.8687 0.6313 0.0000  6 V 2.63-2.81, 1 Mg 2.64, 2 Cr 2.79
5 Mg 0.6313 0.1313 0.0000  6 V 2.63-2.81, 1 Mg 2.64, 2 Cr 2.79
6 V 0.3256 0.1744 0.5000  6 Mg 2.63-2.81
7 V 0.1744 0.6744 0.5000  6 Mg 2.63-2.81
8 V 0.8256 0.3256 0.5000  6 Mg 2.63-2.81
9 V 0.6744 0.8256 0.5000  6 Mg 2.63-2.81
10 Cr 0.5000 0.5000 0.0000  4 Mg 2.79

Values from the calculation:
**Volume**: 17.81 Å³ per atom
**Energy relative to the elements**: 18.41 kcal/mol of atoms
**ΔE to the lowest computed polymorph**: 113.1 meV per atom

***

The following is a DFT calculation (PBE) of a relaxed structure of RbY3Ag.

abc: 5.7692 5.7692 5.7692
angles: 90.00 90.00 90.00
Last column: nearest neighbours and their distance in Å.
Element x y z (fractional)
1 Y 0.0000 0.5000 0.0000  2 Ag 2.88
2 Ag 0.0000 0.0000 0.0000  6 Y 2.88
3 Y 0.5000 0.0000 0.0000  2 Ag 2.88
4 Y 0.0000 0.0000 0.5000  2 Ag 2.88
5 Rb 0.5000 0.5000 0.5000  12 Y 4.08

Values from the calculation:
**Volume**: 38.40 Å³ per atom
**Energy relative to the elements**: 8.70 kcal/mol of atoms
**ΔE to the lowest computed polymorph**: 0.0 meV per atom

***

The following is a DFT calculation (PBE) of a relaxed structure of ZnFeAg3.

abc: 4.7577 4.7577 4.7577
angles: 90.00 90.00 90.00
Last column: nearest neighbours and their distance in Å.
Element x y z (fractional)
1 Ag 0.0000 0.0000 0.5000  2 Zn 2.38
2 Fe 0.5000 0.5000 0.5000  12 Ag 3.36
3 Zn 0.0000 0.0000 0.0000  6 Ag 2.38
4 Ag 0.5000 0.0000 0.0000  2 Zn 2.38
5 Ag 0.0000 0.5000 0.0000  2 Zn 2.38

Values from the calculation:
**Volume**: 21.54 Å³ per atom
**Energy relative to the elements**: 21.78 kcal/mol of atoms
**ΔE to the lowest computed polymorph**: 0.0 meV per atom

***

The following is a DFT calculation (PBE) of a relaxed structure of KTiAl.

abc: 5.2872 5.2872 5.9517
angles: 90.00 90.00 120.00
Last column: nearest neighbours and their distance in Å.
Element x y z (fractional)
1 K 0.6667 0.3333 0.5000  2 K 2.98
2 Al 0.3333 0.6667 0.7499  2 Al 2.97-2.98, 3 Ti 3.05
3 Ti 0.0000 0.0000 0.7498  2 Ti 2.97-2.98, 3 Al 3.05
4 Al 0.3333 0.6667 0.2501  2 Al 2.97-2.98, 3 Ti 3.05
5 K 0.6667 0.3333 0.0000  2 K 2.98
6 Ti 0.0000 0.0000 0.2502  2 Ti 2.97-2.98, 3 Al 3.05

Values from the calculation:
**Volume**: 24.01 Å³ per atom
**Energy relative to the elements**: 19.16 kcal/mol of atoms
**ΔE to the lowest computed polymorph**: 759.4 meV per atom

***

The following is a DFT calculation (PBE) of a relaxed structure of Ca2MnSb.

abc: 6.3940 6.3940 4.8966
angles: 67.45 67.45 37.05
Last column: nearest neighbours and their distance in Å.
Element x y z (fractional)
1 Mn 0.5413 0.5413 0.4584  2 Sb 2.80
2 Ca 0.7609 0.7609 0.7392  4 Sb 3.22, 2 Mn 3.45-3.46, 2 Ca 3.47
3 Ca 0.9823 0.9823 0.0176  4 Mn 3.25, 2 Ca 3.47, 4 Sb 3.56-3.59
4 Sb 0.2155 0.2155 0.2848  2 Mn 2.80

Values from the calculation:
**Volume**: 27.58 Å³ per atom
**Calculated total energy**: -18.16 eV/cell

***

The following is a DFT calculation (PBE) of a relaxed structure of LiSb2.

abc: 3.2039 4.2584 5.8580
angles: 68.73 89.96 89.96
Last column: nearest neighbours and their distance in Å.
Element x y z (fractional)
1 Sb 0.5000 0.6363 0.7237  5 Sb 3.02-3.25, 4 Li 3.06-3.07
2 Li 0.0000 0.0000 0.0000  8 Sb 3.06-3.07, 2 Li 3.20
3 Sb 0.5000 0.3637 0.2763  5 Sb 3.02-3.25, 4 Li 3.06-3.07

Values from the calculation:
**Volume**: 24.83 Å³ per atom
**ΔE to the lowest computed polymorph**: 46.9 meV per atom

***

The following is a DFT calculation (PBE) of a relaxed structure of VMoPd2Br.

abc: 4.7618 4.5520 4.7618
angles: 90.00 90.00 90.00
Last column: nearest neighbours and their distance in Å.
Element x y z (fractional)
1 V 0.0000 0.0000 0.0000  2 Mo 2.28, 4 Pd 2.38
2 Br 0.5000 0.5000 0.5000  8 Pd 3.29, 4 Mo 3.37
3 Pd 0.0000 0.0000 0.5000  2 V 2.38
4 Pd 0.5000 0.0000 0.0000  2 V 2.38
5 Mo 0.0000 0.5000 0.0000  2 V 2.28

Values from the calculation:
**Volume**: 20.64 Å³ per atom
**Calculated total energy**: -26.70 eV/cell

***

The following is a DFT calculation (PBE) of a relaxed structure of KCa2Cr.

abc: 3.8724 3.8724 10.5408
angles: 90.00 90.00 90.01
Last column: nearest neighbours and their distance in Å.
Element x y z (fractional)
1 Cr 0.5000 0.5000 0.2500  8 Ca 3.30
2 Ca 0.0000 0.0000 0.0760  4 Cr 3.30, 1 Ca 3.67
3 K 0.5000 0.5000 0.7500  4 K 3.87
4 Ca 0.0000 0.0000 0.4240  4 Cr 3.30, 1 Ca 3.67

Values from the calculation:
**Volume**: 39.52 Å³ per atom
**Energy relative to the elements**: 9.89 kcal/mol of atoms
**ΔE to the lowest computed polymorph**: 0.0 meV per atom

***

Please write out number 1 again, unchanged.
The following is a DFT calculation (PBE) of a relaxed structure of Mg2V2Cr.

abc: 7.1190 7.1190 3.5137
angles: 90.00 90.00 90.00
Last column: nearest neighbours and their distance in Å.
Element x y z (fractional)
1 Cr 0.0000 0.0000 0.0000  4 Mg 2.79
2 Mg 0.1313 0.3687 0.0000  6 V 2.63-2.81, 1 Mg 2.64, 2 Cr 2.79
3 Mg 0.3687 0.8687 0.0000  6 V 2.63-2.81, 1 Mg 2.64, 2 Cr 2.79
4 Mg 0.8687 0.6313 0.0000  6 V 2.63-2.81, 1 Mg 2.64, 2 Cr 2.79
5 Mg 0.6313 0.1313 0.0000  6 V 2.63-2.81, 1 Mg 2.64, 2 Cr 2.79
6 V 0.3256 0.1744 0.5000  6 Mg 2.63-2.81
7 V 0.1744 0.6744 0.5000  6 Mg 2.63-2.81
8 V 0.8256 0.3256 0.5000  6 Mg 2.63-2.81
9 V 0.6744 0.8256 0.5000  6 Mg 2.63-2.81
10 Cr 0.5000 0.5000 0.0000  4 Mg 2.79

Values from the calculation:
**Volume**: 17.81 Å³ per atom
**Energy relative to the elements**: 18.41 kcal/mol of atoms
**ΔE to the lowest computed polymorph**: 113.1 meV per atom

***

Q: Number 1 is which compound?
A: Mg2V2Cr

***

Q: The lowest volume belongs to which entry?
A: Mg2V2Cr

***

Q: Which of these has the highest volume?
A: KCa2Cr